Density functional theory data (GGA+U) for FeAsO2F after structural relaxation.

Values from the calculation:
**Density of states at the Fermi level**: 2.17 states/eV per cell
**E_tot**: -5.1168 eV/atom

Cell lengths 4.017, 4.017, 4.074 Å; angles 90.00, 90.00, 90.00 degrees
Space group P4/mmm (No. 123)
One atom of each set of equivalent atoms:
Fe 0.000 0.000 0.000 [1 per cell]
As 0.500 0.500 0.500 [1 per cell]
O 0.000 0.500 0.500 [2 per cell]
F 0.500 0.500 0.000 [1 per cell]